# 1
The following is a DFT calculation (PBE) of a relaxed structure of Li2In5Ag5.

Output
The raw total energy is -33.0 eV per cell. The formation enthalpy at 0 K is -0.10 eV per atom. The value obtained for the density of states at the Fermi level is 0.334 states/eV/atom. As for the space group: C2/m (12).

Unit cell a=4.265 b=6.763 c=9.190 alpha=75.55 beta=76.58 gamma=71.62
Element x y z (fractional)
Ag 0.162 0.174 0.501
Ag 0.253 0.744 0.750
Ag 0.000 0.000 0.000
Li 0.915 0.429 0.741
In 0.593 0.074 0.741
Li 0.085 0.571 0.259
Ag 0.747 0.256 0.250
In 0.500 0.500 0.500
In 0.338 0.331 0.994
Ag 0.838 0.826 0.499
In 0.407 0.926 0.259
In 0.662 0.669 0.006

---

# 2
The following is a DFT calculation (PBE) of a relaxed structure of Li12In5Ag2.

Output
The raw total energy is -46.3 eV per cell. The formation enthalpy at 0 K is -0.21 eV per atom. The value obtained for the density of states at the Fermi level is 0.260 states/eV/atom. As for the space group: C2/m (12).

Unit cell a=7.710 b=7.548 c=7.113 alpha=92.17 beta=90.00 gamma=120.71
Element x y z (fractional)
Li 0.166 0.739 0.321
In 0.753 0.506 0.431
Li 0.669 0.703 0.751
In 0.706 0.413 0.009
In 0.247 0.494 0.569
In 0.294 0.587 0.991
In 0.000 0.000 0.500
Li 0.427 0.261 0.679
Li 0.967 0.297 0.249
Li 0.331 0.297 0.249
Li 0.547 0.093 0.319
Ag 0.686 0.000 0.000
Li 0.573 0.739 0.321
Li 0.834 0.261 0.679
Ag 0.314 0.000 0.000
Li 0.033 0.703 0.751
Li 0.918 0.836 0.115
Li 0.082 0.164 0.885
Li 0.453 0.907 0.681

---

# 3
The following is a DFT calculation (PBE) of a relaxed structure of Li6InAg4.

Output
The raw total energy is -27.0 eV per cell. The formation enthalpy at 0 K is -0.13 eV per atom. The value obtained for the density of states at the Fermi level is 0.374 states/eV/atom. As for the space group: I-42m (121).

Unit cell a=8.064 b=8.064 c=8.064 alpha=55.84 beta=141.33 gamma=141.33
Element x y z (fractional)
Li 0.000 0.989 0.377
Li 0.000 0.377 0.989
In 0.000 0.000 0.000
Ag 0.000 0.188 0.560
Li 0.500 0.000 0.500
Ag 0.000 0.560 0.188
Ag 0.372 0.812 0.812
Li 0.387 0.011 0.011
Ag 0.628 0.440 0.440
Li 0.500 0.500 0.000
Li 0.613 0.623 0.623

---

# 4
The following is a DFT calculation (PBE) of a relaxed structure of Li4InAg5.

Output
The raw total energy is -26.5 eV per cell. The formation enthalpy at 0 K is -0.18 eV per atom. The value obtained for the density of states at the Fermi level is 0.279 states/eV/atom. As for the space group: P4/mmm (123).

Unit cell a=3.261 b=3.261 c=15.877 alpha=90.00 beta=90.00 gamma=90.00
Element x y z (fractional)
Li 0.000 0.000 0.596
Ag 0.500 0.500 0.691
Ag 0.500 0.500 0.120
Ag 0.500 0.500 0.309
Ag 0.500 0.500 0.500
In 0.000 0.000 0.000
Ag 0.500 0.500 0.880
Li 0.000 0.000 0.788
Li 0.000 0.000 0.212
Li 0.000 0.000 0.404

---

# 5
The following is a DFT calculation (PBE) of a relaxed structure of Li2In3Ag4.

Output
The raw total energy is -24.9 eV per cell. The formation enthalpy at 0 K is -0.16 eV per atom. The value obtained for the density of states at the Fermi level is 0.231 states/eV/atom. As for the space group: P-1 (2).

Unit cell a=4.607 b=4.833 c=10.313 alpha=58.61 beta=77.61 gamma=61.72
Element x y z (fractional)
Ag 0.995 0.338 0.674
In 0.666 0.094 0.575
Li 0.670 0.447 0.214
In 0.334 0.906 0.425
Ag 0.005 0.662 0.326
Ag 0.336 0.230 0.102
In 0.000 0.000 0.000
Ag 0.664 0.770 0.898
Li 0.330 0.553 0.786

---

# 6
The following is a DFT calculation (PBE) of a relaxed structure of Li2InAg7.

Output
The raw total energy is -24.3 eV per cell. The formation enthalpy at 0 K is 0.22 eV per atom. The value obtained for the density of states at the Fermi level is 0.421 states/eV/atom. As for the space group: Cmmm (65).

Unit cell a=4.547 b=7.532 c=7.532 alpha=120.84 beta=90.00 gamma=90.00
Element x y z (fractional)
Ag 0.500 0.303 0.070
Ag 0.500 0.930 0.697
Ag 0.500 0.070 0.303
Li 0.500 0.700 0.300
Ag 0.500 0.500 0.500
Li 0.500 0.300 0.700
Ag 0.000 0.213 0.787
In 0.000 0.000 0.000
Ag 0.000 0.787 0.213
Ag 0.500 0.697 0.930